# ZrFeCo, optimized geometry, DFT PBE
# - formation enthalpy at 0 K (eV per atom) = 0.178
# - crystal system = cubic
# - calculated total energy (eV/cell) = -94.3
data_ZrFeCo
_chemical_formula_sum 'Zr4 Fe4 Co4'
_symmetry_space_group_name_H-M 'F -4 3 m'
_symmetry_Int_Tables_number 216
_symmetry_space_group_name_Hall 'F -4 2 3'
_cell_length_a 5.8700
_cell_length_b 5.8700
_cell_length_c 5.8700
_cell_angle_alpha 90.00
_cell_angle_beta 90.00
_cell_angle_gamma 90.00
loop_
_atom_site_label
_atom_site_fract_x
_atom_site_fract_y
_atom_site_fract_z
_atom_site_occupancy
Zr1 0.0000 0.0000 0.0000 1
Fe1 0.0000 0.0000 0.5000 1
Co1 0.2500 0.2500 0.7500 1